1.
TaTi8Sn2 | PBE | optimized geometry

Summary:
theoretical density: 6.59 g cm⁻³
VASP energy: -7.67 eV/atom

a b c (Å): 4.705 6.557 7.688
angles (deg): 115.22 107.82 90.00
Atoms (fractional coordinates):
Ta: 0.500 0.000 0.000
Ti: 0.366 0.580 0.732
Ti: 0.634 0.848 0.268
Ti: 0.843 0.842 0.685
Ti: 0.000 0.279 0.000
Ti: 0.157 0.158 0.315
Ti: 0.366 0.152 0.732
Ti: 0.634 0.420 0.268
Ti: 0.000 0.721 0.000
Sn: 0.805 0.305 0.609
Sn: 0.195 0.695 0.391


2.
KSrCd2Pd | PBE | optimized geometry

Summary:
theoretical density: 4.55 g cm⁻³
VASP energy: -2.19 eV/atom

a b c (Å): 5.471 5.471 5.587
angles (deg): 90.00 90.00 90.00
Atoms (fractional coordinates):
Sr: 0.000 0.000 0.500
K: 0.500 0.500 0.500
Pd: 0.000 0.000 0.000
Cd: 0.000 0.500 0.000
Cd: 0.500 0.000 0.000


3.
BeIrS3 | PBE | optimized geometry

Summary:
theoretical density: 4.94 g cm⁻³
ΔE to the lowest computed polymorph: 185 meV/atom
raw formation energy: 0.943 eV per atom

a b c (Å): 4.641 4.641 4.641
angles (deg): 90.00 90.00 90.00
Atoms (fractional coordinates):
Be: 0.500 0.500 0.500
S: 0.000 0.500 0.000
S: 0.000 0.000 0.500
S: 0.500 0.000 0.000
Ir: 0.000 0.000 0.000


4.
Ti2Ga2Co | PBE | optimized geometry

Summary:
theoretical density: 6.35 g cm⁻³
VASP energy: -6.24 eV/atom

a b c (Å): 4.118 4.118 9.528
angles (deg): 102.48 102.48 90.00
Atoms (fractional coordinates):
Ti: 0.428 0.928 0.857
Ti: 0.678 0.678 0.357
Ti: 0.322 0.322 0.643
Ti: 0.072 0.572 0.143
Ga: 0.827 0.827 0.654
Ga: 0.577 0.077 0.154
Ga: 0.923 0.423 0.846
Ga: 0.173 0.173 0.346
Co: 0.500 0.500 0.000
Co: 0.250 0.750 0.500


5.
YSiN3 | PBE | optimized geometry

Summary:
theoretical density: 3.04 g cm⁻³
raw formation energy: 1.571 eV per atom

a b c (Å): 4.431 4.431 4.431
angles (deg): 90.00 90.00 90.00
Last column: magnetic moment on the atom in μB.
Atoms (fractional coordinates):
Y: 0.000 0.000 0.000  0.09
Si: 0.500 0.500 0.500  -0.11
N: 0.000 0.500 0.000  1.04
N: 0.000 0.000 0.500  1.20
N: 0.500 0.000 0.000  0.74


6.
Ce2AlH6 | PBE | optimized geometry

Summary:
theoretical density: 5.23 g cm⁻³
VASP energy: -4.26 eV/atom

a b c (Å): 4.198 6.832 6.933
angles (deg): 90.00 89.94 90.00
Last column: magnetic moment on the atom in μB.
Atoms (fractional coordinates):
Ce: 0.998 0.345 0.747  0.52
Ce: 0.502 0.845 0.753  0.52
Ce: 0.498 0.155 0.247  0.52
Ce: 0.002 0.655 0.253  0.52
Al: 0.500 0.500 0.000  0.01
Al: 0.000 0.000 0.500  0.01
H: 0.999 0.997 0.225  0.00
H: 0.989 0.701 0.604  0.00
H: 0.876 0.634 0.925  0.00
H: 0.624 0.134 0.575  0.00
H: 0.511 0.201 0.896  0.00
H: 0.501 0.497 0.275  0.00
H: 0.001 0.003 0.775  0.00
H: 0.011 0.299 0.396  0.00
H: 0.124 0.366 0.075  0.00
H: 0.376 0.866 0.425  0.00
H: 0.489 0.799 0.104  0.00
H: 0.499 0.503 0.725  0.00


7.
Nd3Ga3Ge | PBE | optimized geometry

Summary:
theoretical density: 6.85 g cm⁻³
VASP energy: -4.69 eV/atom

a b c (Å): 4.196 4.389 9.888
angles (deg): 102.82 102.25 90.00
Last column: magnetic moment on the atom in μB.
Atoms (fractional coordinates):
Nd: 0.316 0.816 0.633  0.09
Nd: 0.685 0.185 0.369  0.09
Nd: 0.998 0.998 0.997  0.00
Ga: 0.143 0.643 0.285  0.00
Ga: 0.855 0.355 0.710  0.00
Ga: 0.567 0.567 0.135  0.00
Ge: 0.435 0.435 0.871  0.00


8.
ErSn2Pd9 | PBE | optimized geometry

Summary:
theoretical density: 11.25 g cm⁻³
VASP energy: -5.58 eV/atom

a b c (Å): 4.073 4.073 12.119
angles (deg): 90.00 90.00 90.00
Atoms (fractional coordinates):
Er: 0.000 0.000 0.000
Sn: 0.000 0.000 0.334
Sn: 0.000 0.000 0.666
Pd: 0.500 0.500 0.000
Pd: 0.500 0.500 0.336
Pd: 0.500 0.500 0.664
Pd: 0.500 0.000 0.171
Pd: 0.500 0.000 0.500
Pd: 0.500 0.000 0.829
Pd: 0.000 0.500 0.171
Pd: 0.000 0.500 0.500
Pd: 0.000 0.500 0.829


9.
Sc3Tl3Zn | PBE | optimized geometry

Summary:
theoretical density: 8.16 g cm⁻³
VASP energy: -4.10 eV/atom

a b c (Å): 6.904 6.904 6.948
angles (deg): 90.03 90.03 88.77
Last column: magnetic moment on the atom in μB.
Atoms (fractional coordinates):
Sc: 0.000 0.000 0.778  0.32
Sc: 0.499 0.001 0.235  0.06
Sc: 0.001 0.499 0.235  0.06
Sc: 0.501 0.999 0.765  0.06
Sc: 0.999 0.501 0.765  0.06
Sc: 0.000 0.000 0.222  0.32
Tl: 0.265 0.265 0.502  0.00
Tl: 0.260 0.740 0.500  0.00
Tl: 0.740 0.260 0.500  0.00
Tl: 0.316 0.684 0.000  0.00
Tl: 0.684 0.316 0.000  0.00
Tl: 0.735 0.735 0.498  0.00
Zn: 0.256 0.256 0.998  0.00
Zn: 0.744 0.744 0.002  0.00


10.
In2HgS | PBE | optimized geometry

Summary:
theoretical density: 7.41 g cm⁻³
ΔE to the lowest computed polymorph: 26 meV/atom
raw formation energy: -0.211 eV per atom

a b c (Å): 3.879 3.879 8.258
angles (deg): 76.42 76.42 60.00
Atoms (fractional coordinates):
In: 0.073 0.073 0.780
In: 0.260 0.260 0.221
Hg: 0.498 0.498 0.505
S: 0.669 0.669 0.994


11.
LiSc2Ru | PBE | optimized geometry

Summary:
theoretical density: 4.15 g cm⁻³
ΔE to the lowest computed polymorph: 19 meV/atom

a b c (Å): 3.225 3.230 8.264
angles (deg): 67.02 90.00 90.00
Atoms (fractional coordinates):
Sc: 0.000 0.048 0.952
Sc: 0.000 0.452 0.548
Ru: 0.500 0.750 0.750
Li: 0.500 0.250 0.250


12.
CdRu2Se | PBE | optimized geometry

Summary:
theoretical density: 8.92 g cm⁻³
ΔE to the lowest computed polymorph: 60 meV/atom
raw formation energy: 0.238 eV per atom

a b c (Å): 2.894 3.674 6.892
angles (deg): 90.00 90.00 90.00
Atoms (fractional coordinates):
Cd: 0.500 0.500 0.803
Ru: 0.000 0.000 0.048
Ru: 0.500 0.500 0.237
Se: 0.000 0.000 0.412


13.
LaFePb2 | PBE | optimized geometry

Summary:
theoretical density: 9.52 g cm⁻³
ΔE to the lowest computed polymorph: 60 meV/atom

a b c (Å): 4.740 4.740 4.730
angles (deg): 90.00 90.00 90.13
Last column: magnetic moment on the atom in μB.
Atoms (fractional coordinates):
Fe: 0.500 0.000 0.500  2.99
La: 0.000 0.500 0.500  -0.05
Pb: 0.000 0.000 0.000  0.01
Pb: 0.500 0.500 0.000  0.01


14.
VRe2Au2 | PBE | optimized geometry

Summary:
theoretical density: 15.22 g cm⁻³
ΔE to the lowest computed polymorph: 0 meV/atom

a b c (Å): 3.572 3.572 7.431
angles (deg): 76.09 76.09 90.00
Last column: magnetic moment on the atom in μB.
Atoms (fractional coordinates):
Re: 0.750 0.250 0.500  -0.12
Re: 0.250 0.750 0.500  -0.12
Au: 0.405 0.405 0.191  0.00
Au: 0.595 0.595 0.809  0.00
V: 0.000 0.000 0.000  2.05


15.
UMnTe2 | PBE | optimized geometry

Summary:
theoretical density: 8.65 g cm⁻³
raw formation energy: 0.235 eV per atom

a b c (Å): 3.548 3.548 9.863
angles (deg): 79.64 79.64 60.00
Last column: magnetic moment on the atom in μB.
Atoms (fractional coordinates):
Te: 0.108 0.108 0.675  -0.09
Te: 0.892 0.892 0.325  -0.09
U: 0.000 0.000 0.000  2.99
Mn: 0.500 0.500 0.500  2.92


16.
SrCu2OsCl | PBE | optimized geometry

Summary:
theoretical density: 7.32 g cm⁻³
raw formation energy: 0.937 eV per atom

a b c (Å): 4.702 4.520 4.702
angles (deg): 90.00 90.00 90.00
Atoms (fractional coordinates):
Sr: 0.500 0.500 0.500
Os: 0.000 0.500 0.000
Cu: 0.000 0.000 0.500
Cu: 0.500 0.000 0.000
Cl: 0.000 0.000 0.000


17.
SrCd2GeIr | PBE | optimized geometry

Summary:
theoretical density: 7.28 g cm⁻³
VASP energy: -3.60 eV/atom

a b c (Å): 5.277 5.277 4.726
angles (deg): 90.00 90.00 90.00
Atoms (fractional coordinates):
Sr: 0.500 0.500 0.500
Ge: 0.000 0.000 0.500
Ir: 0.000 0.000 0.000
Cd: 0.000 0.500 0.000
Cd: 0.500 0.000 0.000


18.
CuSe3Br | PBE | optimized geometry

Summary:
theoretical density: 5.58 g cm⁻³
raw formation energy: 0.545 eV per atom

a b c (Å): 4.838 4.838 4.838
angles (deg): 90.00 90.00 90.00
Atoms (fractional coordinates):
Br: 0.500 0.500 0.500
Se: 0.000 0.500 0.000
Se: 0.000 0.000 0.500
Se: 0.500 0.000 0.000
Cu: 0.000 0.000 0.000


19.
CdCuRuO4 | PBE | optimized geometry

Summary:
theoretical density: 6.37 g cm⁻³
raw formation energy: -0.818 eV per atom

a b c (Å): 5.914 6.478 6.178
angles (deg): 118.48 90.00 117.16
Last column: magnetic moment on the atom in μB.
Atoms (fractional coordinates):
Cd: 0.837 0.673 0.087  0.01
Cd: 0.163 0.327 0.913  0.01
Cu: 0.500 0.500 0.500  -0.25
Cu: 0.000 0.500 0.500  -0.25
Ru: 0.500 0.000 0.500  1.29
Ru: 0.500 0.000 0.000  1.29
O: 0.706 0.411 0.660  -0.03
O: 0.264 0.964 0.232  0.13
O: 0.700 0.964 0.232  0.13
O: 0.706 0.411 0.251  -0.03
O: 0.294 0.589 0.749  -0.03
O: 0.736 0.036 0.768  0.13
O: 0.300 0.036 0.768  0.13
O: 0.294 0.589 0.340  -0.03


20.
CaTb2Zn | PBE | optimized geometry

Summary:
theoretical density: 5.68 g cm⁻³
ΔE to the lowest computed polymorph: 107 meV/atom

a b c (Å): 3.671 3.671 10.809
angles (deg): 80.22 80.22 60.00
Last column: magnetic moment on the atom in μB.
Atoms (fractional coordinates):
Zn: 0.000 0.000 0.000  0.01
Tb: 0.266 0.266 0.202  0.10
Tb: 0.734 0.734 0.798  0.10
Ca: 0.500 0.500 0.500  0.01


21.
HoTiSnHg | PBE | optimized geometry

Summary:
theoretical density: 9.69 g cm⁻³
VASP energy: -4.45 eV/atom

a b c (Å): 5.052 5.052 5.052
angles (deg): 60.00 60.00 60.00
Last column: magnetic moment on the atom in μB.
Atoms (fractional coordinates):
Ti: 0.750 0.750 0.750  1.26
Hg: 0.000 0.000 0.000  0.00
Sn: 0.500 0.500 0.500  -0.03
Ho: 0.250 0.250 0.250  0.14


22.
NbCrP2S | PBE | optimized geometry

Summary:
theoretical density: 3.64 g cm⁻³
ΔE to the lowest computed polymorph: 420 meV/atom
raw formation energy: 0.913 eV per atom

a b c (Å): 4.846 4.846 4.646
angles (deg): 90.00 90.00 90.00
Last column: magnetic moment on the atom in μB.
Atoms (fractional coordinates):
Cr: 0.500 0.500 0.500  -0.25
Nb: 0.000 0.000 0.000  0.04
S: 0.000 0.000 0.500  0.00
P: 0.000 0.500 0.000  -0.03
P: 0.500 0.000 0.000  -0.03


23.
La2SiH | PBE | optimized geometry

Summary:
theoretical density: 5.02 g cm⁻³
ΔE to the lowest computed polymorph: 46 meV/atom

a b c (Å): 5.920 5.922 11.585
angles (deg): 90.07 90.00 90.00
Atoms (fractional coordinates):
La: 0.755 0.998 0.881
La: 0.245 0.002 0.119
La: 0.755 0.502 0.619
La: 0.245 0.498 0.381
La: 0.751 0.493 0.131
La: 0.249 0.507 0.869
La: 0.751 0.007 0.369
La: 0.249 0.993 0.631
Si: 0.251 0.998 0.375
Si: 0.749 0.002 0.625
Si: 0.251 0.502 0.125
Si: 0.749 0.498 0.875
H: 0.237 0.515 0.625
H: 0.763 0.485 0.375
H: 0.237 0.985 0.875
H: 0.763 0.015 0.125


24.
H2Pt2Rh | PBE | optimized geometry

Summary:
theoretical density: 13.85 g cm⁻³
ΔE to the lowest computed polymorph: 126 meV/atom

a b c (Å): 6.610 6.610 2.717
angles (deg): 90.00 90.00 90.00
Atoms (fractional coordinates):
H: 0.390 0.890 0.000
H: 0.890 0.610 0.000
H: 0.610 0.110 0.000
H: 0.110 0.390 0.000
Rh: 0.000 0.000 0.000
Rh: 0.500 0.500 0.000
Pt: 0.275 0.775 0.500
Pt: 0.775 0.725 0.500
Pt: 0.725 0.225 0.500
Pt: 0.225 0.275 0.500


25.
CuSb3P | PBE | optimized geometry

Summary:
theoretical density: 6.00 g cm⁻³
ΔE to the lowest computed polymorph: 0 meV/atom
raw formation energy: 0.754 eV per atom

a b c (Å): 5.030 5.030 5.030
angles (deg): 90.00 90.00 90.00
Atoms (fractional coordinates):
Sb: 0.000 0.500 0.000
Sb: 0.000 0.000 0.500
Sb: 0.500 0.000 0.000
Cu: 0.000 0.000 0.000
P: 0.500 0.500 0.500